1.
A plane-wave DFT calculation with meta-GGA SCAN was carried out for a crystal of FeOs3S relaxed with PBEsol.

Space-group type   Pm-3m, No. 221
Total DFT energy (no corrections)   -46.32 eV/atom

Geometry as POSCAR:
```
FeOs3S
1.0
4.3672 0.0000 0.0000
0.0000 4.3672 0.0000
0.0000 0.0000 4.3672
S Os Fe
1 3 1
Cartesian
2.1836 2.1836 2.1836 S
0.0000 2.1836 0.0000 Os
2.1836 0.0000 0.0000 Os
0.0000 0.0000 2.1836 Os
0.0000 0.0000 0.0000 Fe
```

2.
A plane-wave DFT calculation with meta-GGA SCAN was carried out for a crystal of CsBi3Rh relaxed with PBEsol.

Space-group type   Pm-3m, No. 221
Formation energy   2.21 eV per atom

Geometry as POSCAR:
```
CsBi3Rh
1.0
-4.8026 -2.9205 2.1571
3.1779 -5.1112 0.1553
1.7559 1.2625 5.6188
Rh Bi Cs
1 3 1
Cartesian
0.0656 -3.3846 3.9656 Rh
1.5889 -2.5556 0.0776 Bi
-2.4013 -1.4602 1.0785 Bi
0.8780 0.6312 2.8094 Bi
0.0000 0.0000 0.0000 Cs
```

3.
A plane-wave DFT calculation with meta-GGA SCAN was carried out for a crystal of TiH8C4NO10 relaxed with PBEsol.

Space-group type   P6_422, No. 181
Total DFT energy (no corrections)   -7.72 eV/atom

Geometry as POSCAR:
```
TiH8C4NO10
1.0
8.8270 0.0000 0.0000
-4.4135 7.6444 0.0000
0.0000 0.0000 10.7379
N C O H Ti
3 12 30 24 3
Cartesian
0.0000 0.0000 8.9482 N
0.0000 0.0000 5.3689 N
0.0000 0.0000 1.7897 N
2.8601 1.6513 7.1586 C
0.0000 4.7731 3.5793 C
0.2799 5.2579 7.1586 C
-0.2799 5.2579 0.0000 C
4.4135 4.3418 3.5793 C
4.6934 2.3866 0.0000 C
4.1336 2.3866 7.1586 C
4.4135 2.8713 3.5793 C
1.5534 5.9931 7.1586 C
0.0000 3.3026 3.5793 C
-1.5534 5.9931 0.0000 C
5.9669 1.6513 0.0000 C
-0.6706 5.8098 7.8025 O
-3.3279 5.7641 7.1586 O
0.9324 2.7282 4.2241 O
-2.5170 5.4729 0.6448 O
2.8289 0.5567 7.8034 O
5.3668 2.3242 2.9354 O
-0.2826 4.1588 0.6439 O
-0.9532 5.3203 2.9354 O
5.9982 0.5567 10.0931 O
3.3279 5.7641 0.0000 O
1.0856 1.8803 0.0000 O
-1.0856 1.8803 7.1586 O
2.1712 0.0000 3.5793 O
6.9305 2.1715 0.6448 O
5.3459 4.9162 2.9345 O
2.5170 5.4729 6.5138 O
3.4812 4.9162 4.2241 O
0.9532 5.3203 4.2232 O
-0.9324 2.7282 2.9345 O
6.6558 0.0000 3.5793 O
4.1309 3.4857 6.5147 O
1.8965 2.1715 6.5138 O
4.6962 3.4857 0.6439 O
1.5847 7.0878 7.8034 O
-1.5846 7.0878 10.0931 O
3.7429 1.8346 10.0940 O
0.6706 5.8098 10.0940 O
3.4603 2.3242 4.2232 O
0.2826 4.1588 6.5147 O
5.0841 1.8346 7.8025 O
5.0965 4.8701 7.0039 H
7.9945 0.1885 2.3948 H
3.8340 7.0177 9.5534 H
2.0612 1.9787 10.5832 H
4.6666 6.8292 5.9741 H
0.5795 0.6268 9.5534 H
0.6830 2.7744 0.1547 H
3.5810 7.4560 4.7638 H
-0.6830 2.7744 7.0039 H
0.8325 0.1885 4.7638 H
0.2531 0.8152 1.1845 H
8.2475 0.6268 8.3431 H
2.3523 5.6657 10.5832 H
-1.6693 6.8487 3.4246 H
-2.3523 5.6657 7.3133 H
6.7659 1.9787 7.3133 H
1.6693 6.8487 3.7340 H
-0.2531 0.8152 5.9741 H
-3.5810 7.4560 2.3948 H
-3.8340 7.0177 8.3431 H
2.7442 0.7957 3.7340 H
6.0828 0.7957 3.4246 H
3.7305 4.8701 0.1547 H
4.1605 6.8292 1.1845 H
-2.2068 3.8222 1.7897 Ti
4.4135 0.0000 8.9482 Ti
2.2068 3.8222 5.3689 Ti
```

4.
A plane-wave DFT calculation with meta-GGA SCAN was carried out for a crystal of KSrF2 relaxed with PBEsol.

Space-group type   R-3m, No. 166
Total DFT energy (no corrections)   -12.38 eV/atom

Geometry as POSCAR:
```
KSrF2
1.0
4.0365 0.0000 0.0000
2.0183 3.4957 0.0000
2.0183 1.1652 7.1518
Sr F K
1 2 1
Cartesian
4.0365 2.3305 3.5759 Sr
2.0183 1.1652 4.4593 F
6.0548 3.4957 2.6926 F
0.0000 0.0000 0.0000 K
```

5.
A plane-wave DFT calculation with meta-GGA SCAN was carried out for a crystal of CaPbO3 relaxed with PBEsol.

Space-group type   Pnma, No. 62
Total DFT energy (no corrections)   -22.73 eV/atom

Geometry as POSCAR:
```
CaPbO3
1.0
-3.1603 -3.4184 -3.2355
-2.3299 -2.4382 4.8518
-5.9558 5.5657 -0.0631
O Ca Pb
12 4 4
Cartesian
-5.9842 0.4111 2.3383 O
-4.4446 2.0356 0.2960 O
-3.3004 -2.7219 -0.7622 O
-8.1456 2.4309 2.3154 O
-6.6039 1.8677 -1.7828 O
-4.8401 -4.3463 1.2801 O
-4.8421 -2.1588 3.3360 O
-6.6059 4.0553 0.2731 O
-8.5264 -0.1709 -0.1326 O
-7.0014 -2.3266 1.2572 O
-5.4617 -0.7021 -0.7850 O
-2.9195 -0.1202 1.6858 O
-4.7322 -2.1118 -2.8961 Ca
-4.4345 -1.7487 1.0274 Ca
-7.0115 1.4577 0.5259 Ca
-6.7138 1.8208 4.4493 Ca
-4.5580 1.0736 -1.6493 Pb
-1.1650 -1.2191 2.4259 Pb
-1.5801 -1.7092 -1.6178 Pb
-4.1428 1.5637 2.3944 Pb
```

6.
A plane-wave DFT calculation with meta-GGA SCAN was carried out for a crystal of CdCoAu2 relaxed with PBEsol.

Space-group type   Cm, No. 8
Formation energy   0.02 eV per atom

Geometry as POSCAR:
```
CdCoAu2
1.0
2.8522 0.0000 0.0000
-1.4261 4.6694 -0.0194
0.0000 -0.9919 4.7833
Au Cd Co
2 1 1
Cartesian
1.4261 2.0828 1.1994 Au
1.4261 3.6026 4.6675 Au
1.4261 -0.4183 2.4017 Cd
0.0000 1.5921 3.6508 Co
```

7.
A plane-wave DFT calculation with meta-GGA SCAN was carried out for a crystal of YBeB relaxed with PBEsol.

Space-group type   P-1, No. 2
Formation energy   -0.34 eV per atom

Geometry as POSCAR:
```
YBeB
1.0
-3.1106 -0.4365 -1.7265
-1.2148 -3.9921 2.6870
-3.5486 1.5180 3.3467
Y Be B
2 2 2
Cartesian
-3.3965 -1.0725 0.6730 Y
-4.4775 -1.8381 3.6343 Y
-5.8938 0.1678 1.4769 Be
-1.9802 -3.0784 2.8304 Be
-4.6337 0.6325 2.7942 B
-3.2403 -3.5432 1.5131 B
```

8.
A plane-wave DFT calculation with meta-GGA SCAN was carried out for a crystal of LaAlTe2 relaxed with PBEsol.

Space-group type   Amm2, No. 38
Total DFT energy (no corrections)   -32.49 eV/atom

Geometry as POSCAR:
```
LaAlTe2
1.0
-2.7465 -2.2263 -2.4674
2.8023 -3.4151 -0.0379
-1.2027 -1.0540 6.0564
Te La Al
2 1 1
Cartesian
-1.0906 -3.7617 0.8415 Te
-0.0051 -0.0043 0.0096 Te
-1.5036 -1.2650 2.8151 La
-1.1234 -3.8315 4.7076 Al
```

9.
A plane-wave DFT calculation with meta-GGA SCAN was carried out for a crystal of Re3PRh relaxed with PBEsol.

Space-group type   Pm-3m, No. 221
Formation energy   1.08 eV per atom

Geometry as POSCAR:
```
Re3PRh
1.0
-3.8021 0.7829 1.8225
-1.6152 -3.5089 -1.8625
1.1512 -2.3377 3.4059
Re P Rh
3 1 1
Cartesian
0.5756 -1.1689 1.7029 Re
-1.9011 0.3914 0.9112 Re
-0.8076 -1.7545 -0.9312 Re
0.0000 0.0000 0.0000 P
-2.1331 -2.5319 1.6830 Rh
```

10.
A plane-wave DFT calculation with meta-GGA SCAN was carried out for a crystal of TaCoSi2 relaxed with PBEsol.

Space-group type   Immm, No. 71
Total DFT energy (no corrections)   -26.09 eV/atom

Geometry as POSCAR:
```
TaCoSi2
1.0
2.7205 0.0000 0.0000
0.0000 4.7439 0.0000
-1.3603 -2.3719 4.1310
Ta Co Si
1 1 2
Cartesian
1.3603 0.0000 0.0000 Ta
0.0000 2.3719 0.0000 Co
1.3603 2.3719 1.8278 Si
0.0000 0.0000 2.3032 Si
```

11.
A plane-wave DFT calculation with meta-GGA SCAN was carried out for a crystal of SrTlOs2 relaxed with PBEsol.

Space-group type   Pmmm, No. 47
Formation energy   1.01 eV per atom
Energy relative to the lowest polymorph listed for this composition   0.00 eV/f.u.

Geometry as POSCAR:
```
SrTlOs2
1.0
2.9067 0.0000 0.0000
0.0000 4.4634 0.0000
0.0000 0.0000 6.3637
Os Tl Sr
2 1 1
Cartesian
0.0000 0.0000 1.9929 Os
0.0000 0.0000 4.3708 Os
1.4533 2.2317 3.1818 Tl
1.4533 2.2317 0.0000 Sr
```

12.
A plane-wave DFT calculation with meta-GGA SCAN was carried out for a crystal of TcNiIr2 relaxed with PBEsol.

Space-group type   Cmmm, No. 65
Formation energy   -0.04 eV per atom
Energy relative to the lowest polymorph listed for this composition   0.47 eV/f.u.

Geometry as POSCAR:
```
TcNiIr2
1.0
2.6752 0.0000 0.0000
0.0000 4.5728 0.0042
0.0000 -1.4738 4.3288
Ir Tc Ni
2 1 1
Cartesian
0.0000 2.2864 0.0021 Ir
0.0000 -0.7369 2.1644 Ir
1.3376 1.5495 2.1665 Tc
1.3376 0.0000 0.0000 Ni
```

13.
A plane-wave DFT calculation with meta-GGA SCAN was carried out for a crystal of NiHgO2F relaxed with PBEsol.

Space-group type   P4/mmm, No. 123
Total DFT energy (no corrections)   -20.89 eV/atom

Geometry as POSCAR:
```
NiHgO2F
1.0
-1.8310 -2.1480 -2.5044
0.9327 -3.0844 1.9635
-3.1703 0.3343 2.0311
Ni O Hg F
1 2 1 1
Cartesian
0.0000 0.0000 0.0000 Ni
0.4664 -1.5422 0.9817 O
-0.9155 -1.0740 -1.2522 O
-2.0343 -2.4491 0.7451 Hg
-1.5851 0.1671 1.0155 F
```

14.
A plane-wave DFT calculation with meta-GGA SCAN was carried out for a crystal of Cr2PRh relaxed with PBEsol.

Space-group type   R-3m, No. 166
Formation energy   0.04 eV per atom

Geometry as POSCAR:
```
Cr2PRh
1.0
2.6328 0.0000 0.0000
1.3164 2.2800 0.0000
1.3164 0.7600 7.8876
Cr P Rh
2 1 1
Cartesian
3.9492 2.2800 5.7925 Cr
1.3164 0.7600 2.0952 Cr
2.6328 1.5200 3.9438 P
0.0000 0.0000 0.0000 Rh
```

15.
A plane-wave DFT calculation with meta-GGA SCAN was carried out for a crystal of RbIrN3 relaxed with PBEsol.

Space-group type   Pm-3m, No. 221
Total DFT energy (no corrections)   -19.66 eV/atom

Geometry as POSCAR:
```
RbIrN3
1.0
4.0908 0.0000 0.0000
0.0000 4.0908 0.0000
0.0000 0.0000 4.0908
N Ir Rb
3 1 1
Cartesian
2.0454 0.0000 0.0000 N
0.0000 2.0454 0.0000 N
0.0000 0.0000 2.0454 N
2.0454 2.0454 2.0454 Ir
0.0000 0.0000 0.0000 Rb
```

16.
A plane-wave DFT calculation with meta-GGA SCAN was carried out for a crystal of Mg2NiMo relaxed with PBEsol.

Space-group type   P4/mmm, No. 123
Formation energy   0.31 eV per atom
Energy relative to the lowest polymorph listed for this composition   0.00 eV/f.u.

Geometry as POSCAR:
```
Mg2NiMo
1.0
-2.1972 -1.0412 2.9845
-0.2244 -3.5742 -1.4121
3.3584 -1.0437 2.1083
Mo Ni Mg
1 1 2
Cartesian
0.4684 -2.8295 1.8404 Mo
1.6792 -0.5219 1.0541 Ni
-1.0986 -0.5206 1.4923 Mg
-0.1122 -1.7871 -0.7060 Mg
```

17.
A plane-wave DFT calculation with meta-GGA SCAN was carried out for a crystal of GaTcS2Cl relaxed with PBEsol.

Space-group type   P4/mmm, No. 123
Energy relative to the lowest polymorph listed for this composition   2.38 eV/f.u.

Geometry as POSCAR:
```
GaTcS2Cl
1.0
4.6211 0.0000 0.0000
0.0000 4.6770 0.0000
0.0000 0.0000 4.6770
S Tc Ga Cl
2 1 1 1
Cartesian
0.0000 2.3385 0.0000 S
0.0000 0.0000 2.3385 S
2.3106 2.3385 2.3385 Tc
0.0000 0.0000 0.0000 Ga
2.3106 0.0000 0.0000 Cl
```

18.
A plane-wave DFT calculation with meta-GGA SCAN was carried out for a crystal of KCaIn3 relaxed with PBEsol.

Space-group type   Pm-3m, No. 221
Formation energy   0.22 eV per atom

Geometry as POSCAR:
```
KCaIn3
1.0
-5.3845 2.2844 0.4693
0.0676 -1.0275 5.7768
2.3311 5.3063 0.9166
In K Ca
3 1 1
Cartesian
0.0338 -0.5138 2.8884 In
1.1656 2.6532 0.4583 In
-2.6923 1.1422 0.2347 In
-1.4929 3.2816 3.5814 K
0.0000 0.0000 0.0000 Ca
```

19.
A plane-wave DFT calculation with meta-GGA SCAN was carried out for a crystal of ZrAsOsSe2 relaxed with PBEsol.

Space-group type   P4/mmm, No. 123
Total DFT energy (no corrections)   -31.60 eV/atom

Geometry as POSCAR:
```
ZrAsOsSe2
1.0
5.0060 0.0000 0.0000
0.0000 5.0060 0.0000
0.0000 0.0000 5.2016
Zr Se As Os
1 2 1 1
Cartesian
0.0000 0.0000 0.0000 Zr
2.5030 0.0000 0.0000 Se
0.0000 2.5030 0.0000 Se
0.0000 0.0000 2.6008 As
2.5030 2.5030 2.6008 Os
```

20.
A plane-wave DFT calculation with meta-GGA SCAN was carried out for a crystal of RePb2 relaxed with PBEsol.

Space-group type   P4/mmm, No. 123
Formation energy   1.03 eV per atom
Energy relative to the lowest polymorph listed for this composition   0.35 eV/f.u.

Geometry as POSCAR:
```
RePb2
1.0
-1.9878 0.1753 2.5425
-3.2324 -2.5343 -2.3524
1.8661 -3.9895 1.7340
Pb Re
2 1
Cartesian
-2.6101 -1.1795 0.0950 Pb
-0.0609 -1.9071 2.1382 Pb
0.0000 0.0000 0.0000 Re
```